Density functional theory data (meta-GGA SCAN) for a PBEsol-optimized structure of K2TeH6SeO10.

a = 11.4951 Å, b = 6.4585 Å, c = 13.7701 Å
α = 90.00°, β = 106.29°, γ = 90.00°
Closest atoms and distances in Å follow each position.
Space group Cc (No. 9)
Inequivalent atoms, fractional coordinates:
K: 0.0000 0.1938 0.0000  5 O 2.75-2.83
K: 0.1980 0.3045 0.7327  5 O 2.75-2.83
Te: 0.0991 0.2508 0.3662  6 O 1.94-1.95
H: 0.0049 0.3059 0.5042  1 O 1.01
H: 0.1935 0.1958 0.2282  1 O 1.01
H: 0.2417 0.4896 0.4784  1 O 1.02
H: 0.2581 0.0159 0.9377  1 O 1.01
H: 0.4402 0.0177 0.2949  1 O 1.01
H: 0.4564 0.4877 0.7537  1 O 1.02
Se: 0.3491 0.2141 0.1161  4 O 1.66-1.68
O: 0.0185 0.4831 0.8515  1 H 1.01
O: 0.0765 0.2195 0.5002  1 H 1.01
O: 0.1218 0.2818 0.2321  1 H 1.01
O: 0.1799 0.0153 0.8810  1 H 1.01
O: 0.2289 0.3605 0.0649  1 H 1.57, 1 Se 1.66
O: 0.2521 0.3908 0.4233  1 H 1.02
O: 0.3143 0.0671 0.2044  2 H 1.65-1.73, 1 Se 1.68
O: 0.3842 0.0658 0.0285  2 H 1.66-1.73, 1 Se 1.68
O: 0.4461 0.3892 0.8089  1 H 1.02
O: 0.4688 0.3621 0.1668  1 H 1.58, 1 Se 1.66

Output
**Spin magnetization**: 0.000 μB per atom
**Raw total energy**: -9.0939 eV per atom
**N(E_F)**: 0.000 states/eV per cell
**Crystal system**: monoclinic